No. 1
Here is a geometry-optimized Pr2CdIn3Hg6 structure from Alexandria. Energies are from PBE.

Calculated values
Symmetry: No. 123
Magnetic moment (Bohr magnetons per cell): 0.00
ΔH_f (0 K) (meV/atom): -12
D(E_F) (states/eV/cell): 6.733

abc: 4.6597 4.6597 18.6459
angles: 90.00 90.00 90.00
Last column: nearest neighbours and their distance in Å.
Positions (direct):
In (0.0000, 0.0000, 0.3002)  5 Hg 2.80-3.06
In (0.0000, 0.0000, 0.0000)  2 Hg 2.79
In (0.0000, 0.0000, 0.6998)  5 Hg 2.80-3.06
Pr (0.5000, 0.5000, 0.7223)  4 In 3.32, 4 Hg 3.35
Pr (0.5000, 0.5000, 0.2777)  4 In 3.32, 4 Hg 3.35
Cd (0.5000, 0.5000, 0.5000)  8 Hg 2.91
Hg (0.0000, 0.0000, 0.8502)  2 In 2.79-2.80
Hg (0.5000, 0.0000, 0.4065)  2 Cd 2.91, 2 In 3.06
Hg (0.0000, 0.5000, 0.5935)  2 Cd 2.91, 2 In 3.06
Hg (0.0000, 0.0000, 0.1498)  2 In 2.79-2.80
Hg (0.0000, 0.5000, 0.4065)  2 Cd 2.91, 2 In 3.06
Hg (0.5000, 0.0000, 0.5935)  2 Cd 2.91, 2 In 3.06


No. 2
Here is a geometry-optimized GeBHCl2 structure from Alexandria. Energies are from PBE.

Calculated values
Symmetry: No. 123
E (eV per atom): -2.788
Magnetic moment (Bohr magnetons per cell): 0.00
D(E_F) (states/eV/cell): 1.452

abc: 5.0187 3.4183 5.0187
angles: 90.00 90.00 90.00
Last column: nearest neighbours and their distance in Å.
Positions (direct):
Cl (0.0000, 0.0000, 0.5000)  2 H 2.51
Cl (0.5000, 0.0000, 0.0000)  2 H 2.51
B (0.5000, 0.5000, 0.5000)  8 Cl 3.04
H (0.0000, 0.0000, 0.0000)  2 Ge 1.71
Ge (0.0000, 0.5000, 0.0000)  2 H 1.71


No. 3
Here is a geometry-optimized Zn6Cd6Hg structure from Alexandria. Energies are from PBE.

Calculated values
Symmetry: No. 71
Magnetic moment (Bohr magnetons per cell): 0.00
ΔH_f (0 K) (meV/atom): 62
D(E_F) (states/eV/cell): 3.767

abc: 5.5558 7.3700 7.3700
angles: 87.67 67.86 67.86
Last column: nearest neighbours and their distance in Å.
Positions (direct):
Zn (0.5000, 0.2480, 0.7520)  4 Zn 2.66, 4 Cd 2.96-2.97
Zn (0.0000, 0.5000, 0.0000)  4 Zn 2.66-2.78, 2 Cd 2.84
Zn (0.5000, 0.7520, 0.2480)  4 Zn 2.66, 4 Cd 2.96-2.97
Zn (0.0000, 0.0000, 0.5000)  4 Zn 2.66-2.78, 2 Cd 2.84
Zn (0.5000, 0.0000, 0.5000)  4 Zn 2.66-2.78, 2 Cd 2.84
Zn (0.5000, 0.5000, 0.0000)  4 Zn 2.66-2.78, 2 Cd 2.84
Hg (0.0000, 0.0000, 0.0000)  6 Cd 3.03-3.18
Cd (0.3344, 0.6656, 0.6656)  6 Zn 2.98-3.00, 3 Cd 3.00-3.15, 1 Hg 3.03
Cd (0.0000, 0.6511, 0.3489)  6 Zn 2.84-2.96, 1 Cd 3.08
Cd (0.6656, 0.3344, 0.3344)  6 Zn 2.98-3.00, 3 Cd 3.00-3.15, 1 Hg 3.03
Cd (0.6710, 0.8290, 0.8290)  6 Zn 2.97-2.99, 3 Cd 3.10-3.15, 2 Hg 3.18
Cd (0.3290, 0.1710, 0.1710)  6 Zn 2.97-2.99, 3 Cd 3.10-3.15, 2 Hg 3.18
Cd (0.0000, 0.3489, 0.6511)  6 Zn 2.84-2.96, 1 Cd 3.08